No. 1
# Fe7As PBE optimized geometry
data_Fe7As
_symmetry_space_group_name_H-M 'P 1'
_symmetry_Int_Tables_number 1
_symmetry_space_group_name_Hall 'P 1'
_cell_length_a 5.140
_cell_length_b 5.140
_cell_length_c 5.140
_cell_angle_alpha 60.00
_cell_angle_beta 60.00
_cell_angle_gamma 60.00
loop_
_atom_site_label
_atom_site_fract_x
_atom_site_fract_y
_atom_site_fract_z
Fe1 0.500 0.500 0.000
Fe2 0.500 0.000 0.500
Fe3 0.500 0.000 0.000
Fe4 0.000 0.000 0.500
Fe5 0.000 0.500 0.000
Fe6 0.000 0.500 0.500
Fe7 0.500 0.500 0.500
As1 0.000 0.000 0.000
# crystal system: cubic
# size of the total moment: 16.7 μB/f.u.
# energy: -63.330 eV/f.u.

***

No. 2
# Ba2SrGe6 PBE optimized geometry
data_Ba2SrGe6
_symmetry_space_group_name_H-M 'P 1'
_symmetry_Int_Tables_number 1
_symmetry_space_group_name_Hall 'P 1'
_cell_length_a 4.044
_cell_length_b 8.415
_cell_length_c 8.415
_cell_angle_alpha 80.94
_cell_angle_beta 76.10
_cell_angle_gamma 76.10
loop_
_atom_site_label
_atom_site_fract_x
_atom_site_fract_y
_atom_site_fract_z
Ba1 0.355 0.145 0.145
Ba2 0.645 0.855 0.855
Sr1 0.500 0.500 0.500
Ge1 0.182 0.530 0.105
Ge2 0.818 0.470 0.895
Ge3 0.818 0.895 0.470
Ge4 0.000 0.185 0.815
Ge5 0.000 0.815 0.185
Ge6 0.182 0.105 0.530
# ΔE to the lowest computed polymorph: 17.1 kJ/mol of atoms
# crystal system: orthorhombic
# size of the total moment: 0.0 μB/f.u.
# energy: -35.557 eV/f.u.

***

No. 3
# LaTiCo3 PBE optimized geometry
data_LaTiCo3
_symmetry_space_group_name_H-M 'P 1'
_symmetry_Int_Tables_number 1
_symmetry_space_group_name_Hall 'P 1'
_cell_length_a 4.503
_cell_length_b 4.503
_cell_length_c 4.503
_cell_angle_alpha 90.00
_cell_angle_beta 90.00
_cell_angle_gamma 90.00
loop_
_atom_site_label
_atom_site_fract_x
_atom_site_fract_y
_atom_site_fract_z
Ti1 0.500 0.500 0.500
Co1 0.000 0.500 0.000
Co2 0.000 0.000 0.500
Co3 0.500 0.000 0.000
La1 0.000 0.000 0.000
# ΔE to the lowest computed polymorph: 108.5 kJ/mol of atoms
# crystal system: cubic
# size of the total moment: 0.0 μB/f.u.
# energy: -26.988 eV/f.u.

***

No. 4
# AcYLuMg PBE optimized geometry
data_AcYLuMg
_symmetry_space_group_name_H-M 'P 1'
_symmetry_Int_Tables_number 1
_symmetry_space_group_name_Hall 'P 1'
_cell_length_a 5.680
_cell_length_b 5.680
_cell_length_c 5.680
_cell_angle_alpha 60.00
_cell_angle_beta 60.00
_cell_angle_gamma 60.00
loop_
_atom_site_label
_atom_site_fract_x
_atom_site_fract_y
_atom_site_fract_z
Y1 0.750 0.750 0.750
Ac1 0.250 0.250 0.250
Lu1 0.500 0.500 0.500
Mg1 0.000 0.000 0.000
# crystal system: cubic
# size of the total moment: 0.0 μB/f.u.
# energy: -16.522 eV/f.u.

***

No. 5
# TbPu2Zn9 PBE optimized geometry
data_TbPu2Zn9
_symmetry_space_group_name_H-M 'P 1'
_symmetry_Int_Tables_number 1
_symmetry_space_group_name_Hall 'P 1'
_cell_length_a 5.365
_cell_length_b 5.365
_cell_length_c 9.309
_cell_angle_alpha 73.25
_cell_angle_beta 73.25
_cell_angle_gamma 60.00
loop_
_atom_site_label
_atom_site_fract_x
_atom_site_fract_y
_atom_site_fract_z
Tb1 0.000 0.000 0.000
Pu1 0.852 0.852 0.444
Pu2 0.148 0.148 0.556
Zn1 0.665 0.665 0.006
Zn2 0.335 0.335 0.994
Zn3 0.500 0.500 0.500
Zn4 0.417 0.417 0.244
Zn5 0.922 0.417 0.244
Zn6 0.417 0.922 0.244
Zn7 0.583 0.583 0.756
Zn8 0.583 0.078 0.756
Zn9 0.078 0.583 0.756
# crystal system: trigonal
# size of the total moment: 11.1 μB/f.u.
# energy: -47.248 eV/f.u.

***

No. 6
# AlV2BOs PBE optimized geometry
data_AlV2BOs
_symmetry_space_group_name_H-M 'P 1'
_symmetry_Int_Tables_number 1
_symmetry_space_group_name_Hall 'P 1'
_cell_length_a 4.035
_cell_length_b 4.070
_cell_length_c 4.035
_cell_angle_alpha 90.00
_cell_angle_beta 90.00
_cell_angle_gamma 90.00
loop_
_atom_site_label
_atom_site_fract_x
_atom_site_fract_y
_atom_site_fract_z
B1 0.000 0.000 0.000
Os1 0.000 0.500 0.000
Al1 0.500 0.500 0.500
V1 0.000 0.000 0.500
V2 0.500 0.000 0.000
# crystal system: tetragonal
# size of the total moment: 0.0 μB/f.u.
# energy: -40.384 eV/f.u.

***

No. 7
# RbCd4Ag2Sn PBE optimized geometry
data_RbCd4Ag2Sn
_symmetry_space_group_name_H-M 'P 1'
_symmetry_Int_Tables_number 1
_symmetry_space_group_name_Hall 'P 1'
_cell_length_a 4.776
_cell_length_b 4.776
_cell_length_c 11.800
_cell_angle_alpha 78.32
_cell_angle_beta 78.32
_cell_angle_gamma 60.00
loop_
_atom_site_label
_atom_site_fract_x
_atom_site_fract_y
_atom_site_fract_z
Rb1 0.000 0.000 0.000
Cd1 0.407 0.407 0.778
Cd2 0.879 0.879 0.362
Cd3 0.121 0.121 0.638
Cd4 0.593 0.593 0.222
Ag1 0.760 0.760 0.721
Ag2 0.240 0.240 0.279
Sn1 0.500 0.500 0.500
# crystal system: trigonal
# size of the total moment: 0.0 μB/f.u.
# energy: -14.059 eV/f.u.